1:
The following is a PBE calculation of an optimized crystal structure of B2C, from Alexandria.

Cell: 6.270 6.270 5.570 Å, 107.73 107.73 23.64°
Positions (direct):
B  0.000  0.000  0.000
B  0.012  0.012  0.434
B  0.103  0.103  0.742
B  0.329  0.329  0.029
B  0.340  0.340  0.629
B  0.393  0.393  0.365
B  0.710  0.710  0.839
B  0.780  0.780  0.189
C  0.102  0.102  0.252
C  0.428  0.428  0.905
C  0.676  0.676  0.318
C  0.752  0.752  0.591

## Properties
Its space group is Cm (8).


2:
The following is a PBE calculation of an optimized crystal structure of B2C, from Alexandria.

Cell: 4.354 4.354 8.261 Å, 103.52 103.52 36.55°
Positions (direct):
B  0.000  0.000  0.000
B  0.109  0.109  0.471
B  0.181  0.181  0.123
B  0.391  0.391  0.844
B  0.460  0.460  0.655
B  0.525  0.525  0.235
B  0.639  0.639  0.954
B  0.843  0.843  0.374
C  0.347  0.347  0.254
C  0.660  0.660  0.403
C  0.811  0.811  0.893
C  0.977  0.977  0.576

## Properties
Its space group is Cm (8).


What is the stability order? It is 2, 1, from most stable to least stable.


1:
The following is a PBE calculation of an optimized crystal structure of YSc2Ag, from Alexandria.

Cell: 3.423 4.419 6.386 Å, 90.00 90.00 90.00°
Positions (direct):
Y  0.000  0.000  0.000
Sc  0.500  0.500  0.264
Sc  0.500  0.500  0.736
Ag  0.000  0.000  0.500

## Properties
Its space group is Pmmm (47).


2:
The following is a PBE calculation of an optimized crystal structure of YSc2Ag, from Alexandria.

Cell: 3.247 3.247 33.004 Å, 90.00 90.00 120.00°
Positions (direct):
Y  0.000  0.000  0.000
Y  0.333  0.667  0.667
Y  0.667  0.333  0.333
Sc  0.000  0.000  0.097
Sc  0.000  0.000  0.903
Sc  0.333  0.667  0.570
Sc  0.333  0.667  0.763
Sc  0.667  0.333  0.237
Sc  0.667  0.333  0.430
Ag  0.000  0.000  0.500
Ag  0.333  0.667  0.167
Ag  0.667  0.333  0.833

## Properties
Its space group is R-3m (166).


What is the stability order? It is 1, 2, from most stable to least stable.


1:
The following is a PBE calculation of an optimized crystal structure of InGaAg4, from Alexandria.

Cell: 5.540 5.540 5.540 Å, 60.00 60.00 60.00°
Positions (direct):
In  0.000  0.000  0.000
Ga  0.750  0.750  0.750
Ag  0.375  0.375  0.375
Ag  0.375  0.375  0.875
Ag  0.375  0.875  0.375
Ag  0.875  0.375  0.375

## Properties
Its space group is F-43m (216).


2:
The following is a PBE calculation of an optimized crystal structure of InGaAg4, from Alexandria.

Cell: 7.006 7.006 4.717 Å, 90.48 90.48 103.50°
Positions (direct):
In  0.175  0.825  0.750
In  0.825  0.175  0.250
Ga  0.440  0.560  0.750
Ga  0.560  0.440  0.250
Ag  0.099  0.244  0.757
Ag  0.167  0.503  0.261
Ag  0.244  0.099  0.257
Ag  0.497  0.833  0.239
Ag  0.503  0.167  0.761
Ag  0.756  0.901  0.743
Ag  0.833  0.497  0.739
Ag  0.901  0.756  0.243

## Properties
Its space group is C2/c (15).


What is the stability order? It is 2, 1, from most stable to least stable.


1:
The following is a PBE calculation of an optimized crystal structure of SrCr2Rh, from Alexandria.

Cell: 4.306 4.306 8.487 Å, 90.00 90.00 90.00°
Positions (direct):
Sr  0.000  0.000  0.000
Sr  0.500  0.500  0.500
Cr  0.000  0.500  0.250
Cr  0.000  0.500  0.750
Cr  0.500  0.000  0.250
Cr  0.500  0.000  0.750
Rh  0.000  0.000  0.500
Rh  0.500  0.500  0.000

## Properties
Its space group is I4/mmm (139).


2:
The following is a PBE calculation of an optimized crystal structure of SrCr2Rh, from Alexandria.

Cell: 4.319 4.319 16.645 Å, 90.00 90.00 120.00°
Positions (direct):
Sr  0.000  0.000  0.000
Sr  0.333  0.667  0.667
Sr  0.667  0.333  0.333
Cr  0.000  0.000  0.196
Cr  0.000  0.000  0.493
Cr  0.333  0.667  0.159
Cr  0.333  0.667  0.863
Cr  0.667  0.333  0.530
Cr  0.667  0.333  0.826
Rh  0.000  0.000  0.804
Rh  0.333  0.667  0.471
Rh  0.667  0.333  0.138

## Properties
Its space group is R3m (160).


What is the stability order? It is 2, 1, from most stable to least stable.


1:
The following is a PBE calculation of an optimized crystal structure of KBa3, from Alexandria.

Cell: 4.460 14.966 7.929 Å, 90.00 90.00 90.00°
Positions (direct):
K  0.000  0.000  0.000
K  0.500  0.500  0.500
Ba  0.000  0.250  0.320
Ba  0.000  0.500  0.999
Ba  0.000  0.750  0.320
Ba  0.500  0.000  0.499
Ba  0.500  0.250  0.820
Ba  0.500  0.750  0.820

## Properties
Its space group is Imm2 (44).


2:
The following is a PBE calculation of an optimized crystal structure of KBa3, from Alexandria.

Cell: 7.586 7.586 7.586 Å, 90.00 90.00 90.00°
Positions (direct):
K  0.000  0.000  0.000
Ba  0.000  0.000  0.500
Ba  0.000  0.500  0.000
Ba  0.500  0.000  0.000

## Properties
Its space group is Pm-3m (221).


What is the stability order? It is 1, 2, from most stable to least stable.


1:
The following is a PBE calculation of an optimized crystal structure of CaTl2Si, from Alexandria.

Cell: 7.486 7.486 7.486 Å, 90.00 90.00 90.00°
Positions (direct):
Ca  0.000  0.000  0.000
Ca  0.000  0.500  0.500
Ca  0.500  0.000  0.500
Ca  0.500  0.500  0.000
Tl  0.250  0.250  0.250
Tl  0.250  0.250  0.750
Tl  0.250  0.750  0.250
Tl  0.250  0.750  0.750
Tl  0.750  0.250  0.250
Tl  0.750  0.250  0.750
Tl  0.750  0.750  0.250
Tl  0.750  0.750  0.750
Si  0.000  0.000  0.500
Si  0.000  0.500  0.000
Si  0.500  0.000  0.000
Si  0.500  0.500  0.500

## Properties
Its space group is Fm-3m (225).


2:
The following is a PBE calculation of an optimized crystal structure of CaTl2Si, from Alexandria.

Cell: 4.549 4.549 9.928 Å, 90.00 90.00 90.00°
Positions (direct):
Ca  0.000  0.000  0.000
Ca  0.500  0.500  0.500
Tl  0.000  0.500  0.250
Tl  0.000  0.500  0.750
Tl  0.500  0.000  0.250
Tl  0.500  0.000  0.750
Si  0.000  0.000  0.500
Si  0.500  0.500  0.000

## Properties
Its space group is I4/mmm (139).


What is the stability order? It is 2, 1, from most stable to least stable.